Below is a relaxed Tb2NdGa2Cu2 crystal, with properties calculated at the GGA-PBE level.

Structure (POSCAR):
```
Tb2NdGa2Cu2
1.0
2.217 1.280 9.213
-2.217 1.280 9.213
0.000 -2.559 9.213
Tb Nd Ga Cu
2 1 2 2
direct
0.125 0.125 0.125 Tb
0.875 0.875 0.875 Tb
0.000 0.000 0.000 Nd
0.260 0.260 0.260 Ga
0.740 0.740 0.740 Ga
0.403 0.403 0.403 Cu
0.597 0.597 0.597 Cu
```

* ρ: 7.717 g/cm3
* electronic total energy: -4.425 eV per atom
* calculated volume: 156.8 Å³/cell


Below is a relaxed NdThGaCu crystal, with properties calculated at the GGA-PBE level.

Structure (POSCAR):
```
NdThGaCu
1.0
0.000 3.647 3.647
3.647 0.000 3.647
3.647 3.647 0.000
Nd Th Ga Cu
1 1 1 1
direct
0.000 0.000 0.000 Nd
0.500 0.500 0.500 Th
0.250 0.250 0.250 Ga
0.750 0.750 0.750 Cu
```

* ρ: 8.718 g/cm3
* electronic total energy: -5.091 eV per atom
* calculated volume: 97.1 Å³/cell


Below is a relaxed NdTmGa2Cu2 crystal, with properties calculated at the GGA-PBE level.

Structure (POSCAR):
```
NdTmGa2Cu2
1.0
4.361 0.000 0.000
-2.181 3.777 0.000
0.000 0.000 7.286
Nd Tm Ga Cu
1 1 2 2
direct
0.000 0.000 0.000 Nd
0.000 0.000 0.500 Tm
0.333 0.667 0.273 Ga
0.667 0.333 0.727 Ga
0.333 0.667 0.714 Cu
0.667 0.333 0.286 Cu
```

* ρ: 8.020 g/cm3
* electronic total energy: -4.400 eV per atom
* calculated volume: 120.0 Å³/cell


Below is a relaxed NdTm2Ga2Cu2 crystal, with properties calculated at the GGA-PBE level.

Structure (POSCAR):
```
NdTm2Ga2Cu2
1.0
2.207 1.274 9.042
-2.207 1.274 9.042
0.000 -2.549 9.042
Nd Tm Ga Cu
1 2 2 2
direct
0.000 0.000 0.000 Nd
0.126 0.126 0.126 Tm
0.874 0.874 0.874 Tm
0.258 0.258 0.258 Ga
0.742 0.742 0.742 Ga
0.407 0.407 0.407 Cu
0.593 0.593 0.593 Cu
```

* ρ: 8.145 g/cm3
* electronic total energy: -4.382 eV per atom
* calculated volume: 152.6 Å³/cell


Below is a relaxed Nd2YGa2Cu2 crystal, with properties calculated at the GGA-PBE level.

Structure (POSCAR):
```
Nd2YGa2Cu2
1.0
2.202 1.271 9.462
-2.202 1.271 9.462
0.000 -2.543 9.462
Nd Y Ga Cu
2 1 2 2
direct
0.123 0.123 0.123 Nd
0.877 0.877 0.877 Nd
0.000 0.000 0.000 Y
0.269 0.269 0.269 Ga
0.731 0.731 0.731 Ga
0.392 0.392 0.392 Cu
0.608 0.608 0.608 Cu
```

* ρ: 6.727 g/cm3
* electronic total energy: -4.712 eV per atom
* calculated volume: 158.9 Å³/cell


Below is a relaxed NdYGaCu crystal, with properties calculated at the GGA-PBE level.

Structure (POSCAR):
```
NdYGaCu
1.0
0.000 3.606 3.606
3.606 0.000 3.606
3.606 3.606 0.000
Nd Y Ga Cu
1 1 1 1
direct
0.000 0.000 0.000 Nd
0.500 0.500 0.500 Y
0.750 0.750 0.750 Ga
0.250 0.250 0.250 Cu
```

* ρ: 6.490 g/cm3
* electronic total energy: -4.967 eV per atom
* calculated volume: 93.8 Å³/cell


Below is a relaxed NdZnGa4Cu2 crystal, with properties calculated at the GGA-PBE level.

Structure (POSCAR):
```
NdZnGa4Cu2
1.0
2.153 1.243 8.811
-2.153 1.243 8.811
0.000 -2.486 8.811
Nd Zn Ga Cu
1 1 4 2
direct
0.000 0.000 0.000 Nd
0.500 0.500 0.500 Zn
0.125 0.125 0.125 Ga
0.400 0.400 0.400 Ga
0.600 0.600 0.600 Ga
0.875 0.875 0.875 Ga
0.238 0.238 0.238 Cu
0.762 0.762 0.762 Cu
```

* ρ: 7.229 g/cm3
* electronic total energy: -3.512 eV per atom
* calculated volume: 141.4 Å³/cell


Below is a relaxed NdZnGa2Cu4 crystal, with properties calculated at the GGA-PBE level.

Structure (POSCAR):
```
NdZnGa2Cu4
1.0
2.095 1.210 8.555
-2.095 1.210 8.555
0.000 -2.420 8.555
Nd Zn Ga Cu
1 1 2 4
direct
0.000 0.000 0.000 Nd
0.500 0.500 0.500 Zn
0.244 0.244 0.244 Ga
0.756 0.756 0.756 Ga
0.135 0.135 0.135 Cu
0.406 0.406 0.406 Cu
0.594 0.594 0.594 Cu
0.865 0.865 0.865 Cu
```

* ρ: 7.699 g/cm3
* electronic total energy: -3.776 eV per atom
* calculated volume: 130.1 Å³/cell


Below is a relaxed Nd2Zn4Ga3Cu crystal, with properties calculated at the GGA-PBE level.

Structure (POSCAR):
```
Nd2Zn4Ga3Cu
1.0
4.246 0.000 0.000
0.000 4.246 0.000
0.000 0.000 10.528
Nd Zn Ga Cu
2 4 3 1
direct
0.000 0.500 0.247 Nd
0.500 0.000 0.753 Nd
0.000 0.000 0.500 Zn
0.000 0.500 0.873 Zn
0.500 0.000 0.127 Zn
0.500 0.500 0.500 Zn
0.000 0.000 0.000 Ga
0.000 0.500 0.639 Ga
0.500 0.000 0.361 Ga
0.500 0.500 0.000 Cu
```

* ρ: 7.198 g/cm3
* electronic total energy: -3.203 eV per atom
* calculated volume: 189.8 Å³/cell


Below is a relaxed Nd2ZnGa6Cu crystal, with properties calculated at the GGA-PBE level.

Structure (POSCAR):
```
Nd2ZnGa6Cu
1.0
3.166 1.828 11.679
-3.166 1.828 11.679
0.000 -3.656 11.679
Nd Zn Ga Cu
4 2 12 2
direct
0.107 0.107 0.107 Nd
0.284 0.284 0.284 Nd
0.716 0.716 0.716 Nd
0.893 0.893 0.893 Nd
0.428 0.428 0.428 Zn
0.572 0.572 0.572 Zn
0.069 0.668 0.668 Ga
0.225 0.225 0.656 Ga
0.225 0.656 0.225 Ga
0.332 0.332 0.931 Ga
0.332 0.931 0.332 Ga
0.344 0.775 0.775 Ga
0.656 0.225 0.225 Ga
0.668 0.069 0.668 Ga
0.668 0.668 0.069 Ga
0.775 0.344 0.775 Ga
0.775 0.775 0.344 Ga
0.931 0.332 0.332 Ga
0.000 0.000 0.000 Cu
0.500 0.500 0.500 Cu
```

* ρ: 6.845 g/cm3
* electronic total energy: -3.620 eV per atom
* calculated volume: 405.5 Å³/cell


Below is a relaxed NdZn8Ga2Cu crystal, with properties calculated at the GGA-PBE level.

Structure (POSCAR):
```
NdZn8Ga2Cu
1.0
3.729 -2.471 0.000
3.729 2.471 0.000
-2.219 0.000 11.379
Nd Zn Ga Cu
1 8 2 1
direct
0.000 0.000 0.000 Nd
0.197 0.702 0.680 Zn
0.255 0.255 0.821 Zn
0.298 0.803 0.320 Zn
0.328 0.328 0.461 Zn
0.672 0.672 0.539 Zn
0.702 0.197 0.680 Zn
0.745 0.745 0.179 Zn
0.803 0.298 0.320 Zn
0.378 0.378 0.136 Ga
0.622 0.622 0.864 Ga
0.000 0.000 0.500 Cu
```

* ρ: 6.891 g/cm3
* electronic total energy: -2.194 eV per atom
* calculated volume: 209.8 Å³/cell


Below is a relaxed Nd2Zn3GaCu12 crystal, with properties calculated at the GGA-PBE level.

Structure (POSCAR):
```
Nd2Zn3GaCu12
1.0
4.082 2.357 5.884
-4.082 2.357 5.884
0.000 -4.714 5.884
Nd Zn Ga Cu
2 3 1 12
direct
0.102 0.102 0.102 Nd
0.898 0.898 0.898 Nd
0.000 0.500 0.500 Zn
0.500 0.000 0.500 Zn
0.500 0.500 0.000 Zn
0.500 0.500 0.500 Ga
0.140 0.140 0.479 Cu
0.140 0.479 0.140 Cu
0.150 0.637 0.637 Cu
0.363 0.363 0.850 Cu
0.363 0.850 0.363 Cu
0.479 0.140 0.140 Cu
0.521 0.860 0.860 Cu
0.637 0.150 0.637 Cu
0.637 0.637 0.150 Cu
0.850 0.363 0.363 Cu
0.860 0.521 0.860 Cu
0.860 0.860 0.521 Cu
```

* ρ: 6.438 g/cm3
* electronic total energy: -3.412 eV per atom
* calculated volume: 339.7 Å³/cell